# NaVInF6

Crystalline NaVInF6 at its relaxed geometry (PBE with a Hubbard U, Alexandria).

The structure in CIF format:
```
data_NaVInF6
_symmetry_space_group_name_H-M 'P 42 n m'
_symmetry_Int_Tables_number 102
_symmetry_space_group_name_Hall 'P 4n -2n'
_cell_length_a 5.111
_cell_length_b 5.111
_cell_length_c 10.325
_cell_angle_alpha 90.00
_cell_angle_beta 90.00
_cell_angle_gamma 90.00
loop_
_atom_site_label
_atom_site_fract_x
_atom_site_fract_y
_atom_site_fract_z
_atom_site_occupancy
Na1 0.000 0.000 0.000 1
V1 0.000 0.000 0.666 1
In1 0.000 0.000 0.332 1
F1 0.182 0.182 0.812 1
F2 0.183 0.183 0.523 1
F3 0.227 0.227 0.165 1
```

## Properties
DFT total energy (Ry/atom): -0.375